A geometry-optimized Tb4IrAu3 structure, computed with PBE.

The space group is P4/mmm (No. 123) and the conventional cell measures 3.5574, 3.5574 and 14.4302 Å, with angles of 90.00, 90.00 and 90.00 degrees. The inequivalent atoms are Tb at (0.0000, 0.0000, 0.1141), Tb at (0.0000, 0.0000, 0.3709), Ir at (0.5000, 0.5000, 0.0000), Au at (0.5000, 0.5000, 0.2473) and Au at (0.5000, 0.5000, 0.5000).

The value obtained for the formation energy is -6.70 eV/f.u. Its crystal system is tetragonal. As for the total magnetization: 0.00 μB per formula unit.

A geometry-optimized LiPrSi2 structure, computed with PBE.

The space group is Pnma (No. 62) and the conventional cell measures 6.8682, 4.2323 and 11.0150 Å, with angles of 90.00, 90.00 and 90.00 degrees. The inequivalent atoms are Li at (0.1334, 0.2500, 0.0575), Pr at (0.1426, 0.2500, 0.3492), Si at (0.0309, 0.2500, 0.8357) and Si at (0.1864, 0.2500, 0.6422).

As for the formation energy (no corrections): -0.599 eV/atom. Its crystal system is orthorhombic. As for the total magnetization: 0.00 μB per formula unit.

A geometry-optimized NaPb2S structure, computed with PBE.

The space group is I-42d (No. 122) and the conventional cell measures 9.1075, 9.1075 and 5.9034 Å, with angles of 90.00, 90.00 and 90.00 degrees. The inequivalent atoms are Na at (0.0000, 0.0000, 0.0000), Pb at (0.1821, 0.2500, 0.6250) and S at (0.0000, 0.0000, 0.5000).

As for the formation energy (no corrections): -0.203 eV/atom. Its crystal system is tetragonal. As for the total magnetization: 0.00 μB per formula unit.

A geometry-optimized NaBr3 structure, computed with PBE.

The space group is R-3m (No. 166, hexagonal axes) and the conventional cell measures 4.6995, 4.6995 and 23.6648 Å, with angles of 90.00, 90.00 and 120.00 degrees. The inequivalent atoms are Na at (0.0000, 0.0000, 0.0000), Br at (0.0000, 0.0000, 0.3914) and Br at (0.0000, 0.0000, 0.5000).

As for the formation energy (no corrections): -0.764 eV/atom. Its crystal system is trigonal. As for the energy above the lowest structure with this stoichiometry: 0.00 kcal/mol of atoms. As for the total magnetization: 0.00 μB per formula unit.

A geometry-optimized CoTePdN2 structure, computed with PBE.

The space group is P4/mmm (No. 123) and the conventional cell measures 3.9157, 3.9157 and 5.8534 Å, with angles of 90.00, 90.00 and 90.00 degrees. The inequivalent atoms are Co at (0.0000, 0.0000, 0.0000), Te at (0.5000, 0.5000, 0.0000), Pd at (0.5000, 0.5000, 0.5000) and N at (0.0000, 0.5000, 0.5000).

As for the formation energy (no corrections): 1.585 eV/atom. Its crystal system is tetragonal. As for the energy above the lowest structure with this stoichiometry: 13.79 kcal/mol of atoms. As for the total magnetization: 5.34 μB per formula unit.

A geometry-optimized Ac8HgGe2 structure, computed with PBE.

The space group is C2/m (No. 12) and the conventional cell measures 9.4072, 14.6687 and 6.3017 Å, with angles of 90.00, 104.86 and 90.00 degrees. The inequivalent atoms are Ac at (0.0000, 0.2412, 0.0000), Ac at (0.1141, 0.5000, 0.8000), Ac at (0.2013, 0.1240, 0.5984), Hg at (0.0000, 0.0000, 0.0000) and Ge at (0.0000, 0.3076, 0.5000).

The value obtained for the formation energy is -2.60 eV/f.u. Its crystal system is monoclinic. As for the total magnetization: 0.00 μB per formula unit.

no.,raw total energy (eV per atom)
1,-5.490
2,-4.984
3,-3.419
4,-2.348
5,-4.834
6,-4.091